1.
The following is a DFT calculation (PBE-GGA) of an optimized crystal structure of AlBiPCl2.

The space group is P4/mmm (No. 123) and the conventional cell measures 4.6308, 4.6308 and 5.0459 Å, with angles of 90.00, 90.00 and 90.00 degrees. Symmetry generates all atoms from Al at (0.0000, 0.0000, 0.0000), Bi at (0.5000, 0.5000, 0.5000), P at (0.0000, 0.0000, 0.5000) and Cl at (0.0000, 0.5000, 0.0000).

Its formation energy from raw total energies is -274 meV per atom. Its energy above the most stable polymorph in this dataset is 0.0000 eV/atom.

2.
The following is a DFT calculation (PBE-GGA) of an optimized crystal structure of RbAlBiCl2.

The space group is P4/mmm (No. 123) and the conventional cell measures 5.5771, 5.5771 and 7.3852 Å, with angles of 90.00, 90.00 and 90.00 degrees. Symmetry generates all atoms from Rb at (0.0000, 0.0000, 0.0000), Al at (0.5000, 0.5000, 0.0000), Bi at (0.0000, 0.0000, 0.5000) and Cl at (0.0000, 0.5000, 0.5000).

Its formation energy from raw total energies is -44 meV per atom.

3.
The following is a DFT calculation (PBE-GGA) of an optimized crystal structure of Rb2AlBiCl6.

The space group is I4/mmm (No. 139) and the conventional cell measures 7.3888, 7.3888 and 11.7839 Å, with angles of 90.00, 90.00 and 90.00 degrees. Symmetry generates all atoms from Rb at (0.0000, 0.5000, 0.2500), Al at (0.0000, 0.0000, 0.0000), Bi at (0.0000, 0.0000, 0.5000), Cl at (0.0000, 0.0000, 0.1936) and Cl at (0.2317, 0.2317, 0.0000).

Its formation energy from raw total energies is -1329 meV per atom.

4.
The following is a DFT calculation (PBE-GGA) of an optimized crystal structure of AlBiSCl4.

The space group is I-4 (No. 82) and the conventional cell measures 12.3335, 12.3335 and 11.3555 Å, with angles of 90.00, 90.00 and 90.00 degrees. Symmetry generates all atoms from Al at (0.0858, 0.1953, 0.2847), Bi at (0.0582, 0.3502, 0.6334), S at (0.0522, 0.3625, 0.8732), Cl at (0.0653, 0.8596, 0.2204), Cl at (0.0678, 0.3549, 0.3691), Cl at (0.0936, 0.8413, 0.5801) and Cl at (0.2000, 0.2062, 0.1386).

Its formation energy from raw total energies is -1162 meV per atom.